1.
! V2Sn2Pd, optimized geometry, DFT GGA-PBE; values from VASP
&SYSTEM
  ibrav = 0, nat = 5, ntyp = 3
/
ATOMIC_SPECIES
V 50.94 V.upf
Sn 118.71 Sn.upf
Pd 106.42 Pd.upf
ATOMIC_POSITIONS crystal
V 0.081 0.081 0.000
V 0.919 0.919 0.000
Sn 0.250 0.750 0.500
Sn 0.750 0.250 0.500
Pd 0.500 0.500 0.000
CELL_PARAMETERS angstrom
-2.027 2.027 5.914
2.027 -2.027 5.914
2.027 2.027 -5.914
! energy relative to the elements	0.45	eV/atom
! E	-29.164	eV per formula unit
! density of states at the Fermi level	5.39	states/eV/cell
! relative energy among the computed polymorphs	371	meV per atom

---

2.
! VSn3Pd, optimized geometry, DFT GGA-PBE; values from VASP
&SYSTEM
  ibrav = 0, nat = 5, ntyp = 3
/
ATOMIC_SPECIES
V 50.94 V.upf
Sn 118.71 Sn.upf
Pd 106.42 Pd.upf
ATOMIC_POSITIONS crystal
V 0.000 0.000 0.000
Sn 0.000 0.500 0.500
Sn 0.500 0.000 0.500
Sn 0.500 0.500 0.000
Pd 0.500 0.500 0.500
CELL_PARAMETERS angstrom
5.174 0.000 0.000
0.000 5.174 0.000
0.000 0.000 5.174
! energy relative to the elements	0.57	eV/atom
! E	-23.477	eV per formula unit
! density of states at the Fermi level	8.62	states/eV/cell
! relative energy among the computed polymorphs	132	meV per atom

---

3.
! V2Sn2Pd, optimized geometry, DFT GGA-PBE; values from VASP
&SYSTEM
  ibrav = 0, nat = 10, ntyp = 3
/
ATOMIC_SPECIES
V 50.94 V.upf
Sn 118.71 Sn.upf
Pd 106.42 Pd.upf
ATOMIC_POSITIONS crystal
V 0.107 0.393 0.000
V 0.393 0.893 0.000
V 0.607 0.107 0.000
V 0.893 0.607 0.000
Sn 0.190 0.690 0.500
Sn 0.310 0.190 0.500
Sn 0.690 0.810 0.500
Sn 0.810 0.310 0.500
Pd 0.000 0.000 0.000
Pd 0.500 0.500 0.000
CELL_PARAMETERS angstrom
7.188 0.000 0.000
0.000 7.188 0.000
0.000 0.000 3.504
! energy relative to the elements	0.08	eV/atom
! E	-31.021	eV per formula unit
! density of states at the Fermi level	8.67	states/eV/cell
! relative energy among the computed polymorphs	0	meV per atom

---

> Which of these has the lowest density of states at the Fermi level?

number 1

---

> Among the records above, which one has the highest relative energy among the computed polymorphs?

number 1

---

> Which value of energy relative to the elements does entry 3 give?

0.08 eV/atom